Record 1
VASP calculation (GGA-PBE) on Ca3NiSb3 after structural relaxation.

Values from the calculation:
Space-group type   No. 12
Crystal system   monoclinic
Magnetization   0.0 μB/cell
Energy   -58.98 eV for the cell shown

Structure (extended XYZ):
```
14
Lattice="5.8078 -2.2194 0.0000 5.8078 2.2194 0.0000 -4.2763 0.0000 14.3981" Properties=species:S:1:pos:R:3 pbc="T T T"
Ca -1.2350 0.0000 5.6520
Ca -3.1262 0.0000 13.1320
Ca 2.0117 0.0000 3.3472
Ca 5.3277 0.0000 11.0510
Ca 10.4656 0.0000 1.2661
Ca 8.5743 0.0000 8.7461
Ni 0.5256 0.0000 8.6823
Ni 6.8137 0.0000 5.7158
Sb 0.0070 0.0000 13.2895
Sb 2.0373 0.0000 6.4952
Sb 1.9538 0.0000 10.8407
Sb 5.3856 0.0000 3.5575
Sb 5.3021 0.0000 7.9030
Sb 7.3324 0.0000 1.1086
```

Record 2
VASP calculation (GGA-PBE) on CaNi2Sb after structural relaxation.

Values from the calculation:
Space-group type   No. 44
Crystal system   orthorhombic
Magnetization   0.0 μB/cell
Energy   -18.14 eV for the cell shown

Structure (extended XYZ):
```
4
Lattice="-1.6987 2.2854 4.6261 1.6987 -2.2854 4.6261 1.6987 2.2854 -4.6261" Properties=species:S:1:pos:R:3 pbc="T T T"
Ca 0.0000 0.0000 0.0000
Ni 1.6987 0.0000 2.6605
Ni 0.0000 0.0000 4.5584
Sb 0.0000 2.2854 2.0257
```

Record 3
VASP calculation (GGA-PBE) on CaNi2Sb after structural relaxation.

Values from the calculation:
Space-group type   No. 122
Crystal system   tetragonal
Magnetization   0.0 μB/cell
Energy   -36.56 eV for the cell shown

Structure (extended XYZ):
```
8
Lattice="-2.3371 2.3371 8.5164 2.3371 -2.3371 8.5164 2.3371 2.3371 -8.5164" Properties=species:S:1:pos:R:3 pbc="T T T"
Ca 0.0000 0.0000 0.0000
Ca 0.0000 2.3371 4.2582
Ni 1.1685 -0.1995 6.3873
Ni 2.1376 1.1685 2.1291
Ni 1.1685 2.5365 -2.1291
Ni 0.1995 1.1685 10.6455
Sb 2.3371 0.0000 4.2582
Sb 0.0000 0.0000 8.5164
```

Record 4
VASP calculation (GGA-PBE) on CaNi4Sb12 after structural relaxation.

Values from the calculation:
Space-group type   No. 204
Crystal system   cubic
Magnetization   0.0 μB/cell
Energy   -78.27 eV for the cell shown

Structure (extended XYZ):
```
17
Lattice="-4.6635 4.6635 4.6635 4.6635 -4.6635 4.6635 4.6635 4.6635 -4.6635" Properties=species:S:1:pos:R:3 pbc="T T T"
Ca 0.0000 0.0000 0.0000
Ni 2.3317 2.3317 -2.3317
Ni 2.3317 -2.3317 2.3317
Ni -2.3317 2.3317 2.3317
Ni 2.3317 2.3317 2.3317
Sb 3.1344 1.5001 0.0000
Sb 6.1925 1.5001 0.0000
Sb 4.6635 -1.5290 3.1634
Sb 3.1634 4.6635 -1.5290
Sb 1.5001 0.0000 3.1344
Sb 0.0000 3.1344 1.5001
Sb 4.6635 1.5290 3.1634
Sb 3.1634 4.6635 1.5290
Sb 1.5001 0.0000 6.1925
Sb 0.0000 6.1925 1.5001
Sb -1.5290 3.1634 4.6635
Sb 1.5290 3.1634 4.6635
```